[1]
# PBE Pd3RuF, relaxed
data_Pd3RuF
_cell_length_a 4.321
_cell_length_b 4.321
_cell_length_c 4.321
_cell_angle_alpha 90.00
_cell_angle_beta 90.00
_cell_angle_gamma 90.00
_space_group_name_H-M_alt 'P 1'
_space_group_IT_number 1
_space_group_name_Hall 'P 1'
loop_
_atom_site_label
_atom_site_fract_x
_atom_site_fract_y
_atom_site_fract_z
F1 0.000 0.000 0.000
Pd1 0.000 0.000 0.500
Pd2 0.500 0.000 0.000
Pd3 0.000 0.500 0.000
Ru1 0.500 0.500 0.500
# Size of the total moment in μB per formula unit: 3.81
# Final energy in Ry/atom: -0.346
# ΔE_f (raw) in meV/atom: 631



[2]
# PBE Pd2RuF8, relaxed
data_Pd2RuF8
_cell_length_a 4.545
_cell_length_b 6.032
_cell_length_c 6.032
_cell_angle_alpha 72.71
_cell_angle_beta 91.66
_cell_angle_gamma 91.66
_space_group_name_H-M_alt 'P 1'
_space_group_IT_number 1
_space_group_name_Hall 'P 1'
loop_
_atom_site_label
_atom_site_fract_x
_atom_site_fract_y
_atom_site_fract_z
F1 0.258 0.399 0.399
F2 0.742 0.601 0.601
F3 0.228 0.291 0.910
F4 0.228 0.910 0.291
F5 0.740 0.152 0.152
F6 0.772 0.090 0.709
F7 0.772 0.709 0.090
F8 0.260 0.848 0.848
Pd1 0.757 0.378 0.378
Pd2 0.243 0.622 0.622
Ru1 0.000 0.000 0.000
# Size of the total moment in μB per formula unit: 5.76
# Final energy in Ry/atom: -0.330
# ΔE_f (raw) in meV/atom: -1335



[3]
# PBE PdRu2F, relaxed
data_PdRu2F
_cell_length_a 4.259
_cell_length_b 4.259
_cell_length_c 4.259
_cell_angle_alpha 60.00
_cell_angle_beta 60.00
_cell_angle_gamma 60.00
_space_group_name_H-M_alt 'P 1'
_space_group_IT_number 1
_space_group_name_Hall 'P 1'
loop_
_atom_site_label
_atom_site_fract_x
_atom_site_fract_y
_atom_site_fract_z
F1 0.000 0.000 0.000
Pd1 0.500 0.500 0.500
Ru1 0.250 0.250 0.250
Ru2 0.750 0.750 0.750
# Size of the total moment in μB per formula unit: 0.00
# Final energy in Ry/atom: -0.434
# ΔE_f (raw) in meV/atom: 500



[4]
# PBE PdRu3F, relaxed
data_PdRu3F
_cell_length_a 4.839
_cell_length_b 4.839
_cell_length_c 4.839
_cell_angle_alpha 90.00
_cell_angle_beta 90.00
_cell_angle_gamma 90.00
_space_group_name_H-M_alt 'P 1'
_space_group_IT_number 1
_space_group_name_Hall 'P 1'
loop_
_atom_site_label
_atom_site_fract_x
_atom_site_fract_y
_atom_site_fract_z
Pd1 0.000 0.000 0.000
Ru1 0.500 0.000 0.000
Ru2 0.000 0.500 0.000
Ru3 0.000 0.000 0.500
F1 0.500 0.500 0.500
# Size of the total moment in μB per formula unit: 8.02
# Final energy in Ry/atom: -0.372
# ΔE_f (raw) in meV/atom: 1911



[5]
# PBE Pd2Ru2F, relaxed
data_Pd2Ru2F
_cell_length_a 3.720
_cell_length_b 3.720
_cell_length_c 6.507
_cell_angle_alpha 73.39
_cell_angle_beta 73.39
_cell_angle_gamma 90.00
_space_group_name_H-M_alt 'P 1'
_space_group_IT_number 1
_space_group_name_Hall 'P 1'
loop_
_atom_site_label
_atom_site_fract_x
_atom_site_fract_y
_atom_site_fract_z
Pd1 0.750 0.250 0.500
Pd2 0.250 0.750 0.500
Ru1 0.591 0.591 0.819
Ru2 0.409 0.409 0.181
F1 0.000 0.000 0.000
# Size of the total moment in μB per formula unit: 1.09
# Final energy in Ry/atom: -0.412
# ΔE_f (raw) in meV/atom: 551



[6]
# PBE Pd2RuF, relaxed
data_Pd2RuF
_cell_length_a 4.323
_cell_length_b 4.323
_cell_length_c 4.323
_cell_angle_alpha 60.00
_cell_angle_beta 60.00
_cell_angle_gamma 60.00
_space_group_name_H-M_alt 'P 1'
_space_group_IT_number 1
_space_group_name_Hall 'P 1'
loop_
_atom_site_label
_atom_site_fract_x
_atom_site_fract_y
_atom_site_fract_z
Pd1 0.250 0.250 0.250
Pd2 0.750 0.750 0.750
Ru1 0.500 0.500 0.500
F1 0.000 0.000 0.000
# Size of the total moment in μB per formula unit: 1.46
# Final energy in Ry/atom: -0.375
# ΔE_f (raw) in meV/atom: 278



[7]
# PBE PdRu2F, relaxed
data_PdRu2F
_cell_length_a 6.705
_cell_length_b 6.705
_cell_length_c 5.354
_cell_angle_alpha 51.23
_cell_angle_beta 51.23
_cell_angle_gamma 90.00
_space_group_name_H-M_alt 'P 1'
_space_group_IT_number 1
_space_group_name_Hall 'P 1'
loop_
_atom_site_label
_atom_site_fract_x
_atom_site_fract_y
_atom_site_fract_z
Ru1 0.375 0.426 0.750
Ru2 0.875 0.824 0.750
Ru3 0.176 0.625 0.250
Ru4 0.574 0.125 0.250
F1 0.250 0.750 0.500
F2 0.500 0.500 0.000
Pd1 0.750 0.250 0.500
Pd2 0.000 0.000 0.000
# Size of the total moment in μB per formula unit: 0.00
# Final energy in Ry/atom: -0.434
# ΔE_f (raw) in meV/atom: 503



[8]
# PBE Pd2RuF, relaxed
data_Pd2RuF
_cell_length_a 6.746
_cell_length_b 6.746
_cell_length_c 5.478
_cell_angle_alpha 52.00
_cell_angle_beta 52.00
_cell_angle_gamma 90.00
_space_group_name_H-M_alt 'P 1'
_space_group_IT_number 1
_space_group_name_Hall 'P 1'
loop_
_atom_site_label
_atom_site_fract_x
_atom_site_fract_y
_atom_site_fract_z
Pd1 0.375 0.400 0.750
Pd2 0.150 0.625 0.250
Pd3 0.875 0.850 0.750
Pd4 0.600 0.125 0.250
Ru1 0.000 0.000 0.000
Ru2 0.750 0.250 0.500
F1 0.500 0.500 0.000
F2 0.250 0.750 0.500
# Size of the total moment in μB per formula unit: 3.33
# Final energy in Ry/atom: -0.373
# ΔE_f (raw) in meV/atom: 303



[9]
# PBE PdRuF5, relaxed
data_PdRuF5
_cell_length_a 5.565
_cell_length_b 5.565
_cell_length_c 7.823
_cell_angle_alpha 71.96
_cell_angle_beta 71.96
_cell_angle_gamma 74.17
_space_group_name_H-M_alt 'P 1'
_space_group_IT_number 1
_space_group_name_Hall 'P 1'
loop_
_atom_site_label
_atom_site_fract_x
_atom_site_fract_y
_atom_site_fract_z
F1 0.929 0.071 0.750
F2 0.246 0.230 0.908
F3 0.298 0.709 0.517
F4 0.754 0.770 0.092
F5 0.702 0.291 0.483
F6 0.291 0.702 0.983
F7 0.770 0.754 0.592
F8 0.230 0.246 0.408
F9 0.709 0.298 0.017
F10 0.071 0.929 0.250
Ru1 0.000 0.000 0.000
Ru2 0.000 0.000 0.500
Pd1 0.490 0.510 0.250
Pd2 0.510 0.490 0.750
# Size of the total moment in μB per formula unit: 3.00
# Final energy in Ry/atom: -0.350
# ΔE_f (raw) in meV/atom: -1361



[10]
# PBE PdRu3F, relaxed
data_PdRu3F
_cell_length_a 4.163
_cell_length_b 4.163
_cell_length_c 4.163
_cell_angle_alpha 90.00
_cell_angle_beta 90.00
_cell_angle_gamma 90.00
_space_group_name_H-M_alt 'P 1'
_space_group_IT_number 1
_space_group_name_Hall 'P 1'
loop_
_atom_site_label
_atom_site_fract_x
_atom_site_fract_y
_atom_site_fract_z
Ru1 0.500 0.000 0.000
Ru2 0.000 0.000 0.500
Ru3 0.000 0.500 0.000
F1 0.000 0.000 0.000
Pd1 0.500 0.500 0.500
# Size of the total moment in μB per formula unit: 0.00
# Final energy in Ry/atom: -0.440
# ΔE_f (raw) in meV/atom: 995



[11]
# PBE PdRuF6, relaxed
data_PdRuF6
_cell_length_a 5.165
_cell_length_b 5.165
_cell_length_c 9.766
_cell_angle_alpha 90.00
_cell_angle_beta 90.00
_cell_angle_gamma 120.00
_space_group_name_H-M_alt 'P 1'
_space_group_IT_number 1
_space_group_name_Hall 'P 1'
loop_
_atom_site_label
_atom_site_fract_x
_atom_site_fract_y
_atom_site_fract_z
Pd1 0.667 0.333 0.750
Pd2 0.333 0.667 0.250
F1 0.696 0.002 0.383
F2 0.998 0.694 0.383
F3 0.694 0.696 0.617
F4 0.998 0.304 0.117
F5 0.694 0.998 0.883
F6 0.002 0.306 0.617
F7 0.306 0.304 0.383
F8 0.002 0.696 0.883
F9 0.304 0.998 0.617
F10 0.304 0.306 0.883
F11 0.306 0.002 0.117
F12 0.696 0.694 0.117
Ru1 0.000 0.000 0.000
Ru2 0.000 0.000 0.500
# Size of the total moment in μB per formula unit: 4.01
# Final energy in Ry/atom: -0.346
# ΔE_f (raw) in meV/atom: -1494



[12]
# PBE Sc2PdRuF, relaxed
data_Sc2PdRuF
_cell_length_a 5.054
_cell_length_b 3.881
_cell_length_c 5.054
_cell_angle_alpha 90.00
_cell_angle_beta 90.00
_cell_angle_gamma 90.00
_space_group_name_H-M_alt 'P 1'
_space_group_IT_number 1
_space_group_name_Hall 'P 1'
loop_
_atom_site_label
_atom_site_fract_x
_atom_site_fract_y
_atom_site_fract_z
Sc1 0.000 0.000 0.500
Sc2 0.500 0.000 0.000
F1 0.000 0.500 0.000
Ru1 0.500 0.500 0.500
Pd1 0.000 0.000 0.000
# Size of the total moment in μB per formula unit: 0.00
# Final energy in Ry/atom: -0.428
# ΔE_f (raw) in meV/atom: -23



[13]
# PBE Pd2SF, relaxed
data_Pd2SF
_cell_length_a 6.077
_cell_length_b 6.077
_cell_length_c 5.590
_cell_angle_alpha 57.07
_cell_angle_beta 57.07
_cell_angle_gamma 90.00
_space_group_name_H-M_alt 'P 1'
_space_group_IT_number 1
_space_group_name_Hall 'P 1'
loop_
_atom_site_label
_atom_site_fract_x
_atom_site_fract_y
_atom_site_fract_z
F1 0.250 0.750 0.500
F2 0.500 0.500 0.000
Pd1 0.875 0.890 0.750
Pd2 0.640 0.125 0.250
Pd3 0.375 0.360 0.750
Pd4 0.110 0.625 0.250
S1 0.750 0.250 0.500
S2 0.000 0.000 0.000
# Size of the total moment in μB per formula unit: 0.00
# Final energy in Ry/atom: -0.332
# ΔE_f (raw) in meV/atom: -427